No. 1
A plane-wave DFT calculation with PBE-GGA was carried out for a relaxed CdCo3 crystal.

Summary:
**Symmetry**: Pm-3n
**ΔH_f (0 K)**: 0.404 eV per atom

```
CdCo3
1.0
4.7476 0.0000 0.0000
0.0000 4.7476 0.0000
0.0000 0.0000 4.7476
Cd Co
2 6
Cartesian
0.0000 0.0000 0.0000
2.3738 2.3738 2.3738
0.0000 1.1869 2.3738
0.0000 3.5607 2.3738
1.1869 2.3738 0.0000
2.3738 0.0000 1.1869
2.3738 0.0000 3.5607
3.5607 2.3738 0.0000
```

No. 2
A plane-wave DFT calculation with PBE-GGA was carried out for a relaxed Cd5Co3 crystal.

Summary:
**Symmetry**: P-1
**ΔH_f (0 K)**: 0.261 eV per atom

```
Cd5Co3
1.0
5.6601 0.6157 -0.5384
3.6265 7.4151 -1.1968
-3.5158 -1.2353 7.4187
Co Cd
6 10
Cartesian
0.7938 0.3691 2.5130
1.6442 0.4989 0.1587
2.1402 2.8215 0.1273
3.6324 3.9736 5.5621
4.1285 6.2962 5.5306
4.9789 6.4259 3.1763
0.7350 4.1051 5.5096
3.1758 5.3987 0.7532
1.4710 2.9851 2.7635
-0.2341 1.1002 5.1358
2.1980 5.7903 3.6794
3.5746 1.0046 2.0100
6.0068 5.6948 0.5535
4.3014 3.8098 2.9259
2.5969 1.3964 4.9362
5.0377 2.6900 0.1800
```

No. 3
A plane-wave DFT calculation with PBE-GGA was carried out for a relaxed Cd3Co crystal.

Summary:
**Symmetry**: Cmmm
**ΔH_f (0 K)**: 0.278 eV per atom

```
Cd3Co
1.0
5.1627 -0.0218 0.0000
-1.8064 4.8364 0.0000
0.0000 0.0000 2.9689
Cd Co
3 1
Cartesian
0.0000 0.0000 0.0000
-0.9032 2.4182 1.4844
2.5814 -0.0109 1.4844
1.6781 2.4073 0.0000
```

No. 4
A plane-wave DFT calculation with PBE-GGA was carried out for a relaxed CdCo2 crystal.

Summary:
**Symmetry**: P6/mmm
**ΔH_f (0 K)**: 0.337 eV per atom

```
CdCo2
1.0
4.1870 0.0000 0.0000
-2.0935 3.6261 0.0000
0.0000 0.0000 2.7698
Cd Co
1 2
Cartesian
0.0000 0.0000 0.0000
0.0000 2.4174 1.3849
2.0935 1.2087 1.3849
```

No. 5
A plane-wave DFT calculation with PBE-GGA was carried out for a relaxed CdCo7 crystal.

Summary:
**Symmetry**: Fm-3m
**ΔH_f (0 K)**: 0.248 eV per atom

```
CdCo7
1.0
3.9002 2.2124 2.5061
-0.9431 3.2208 3.8889
1.0833 -1.4066 4.8202
Cd Co
1 7
Cartesian
0.0000 0.0000 0.0000
1.9501 1.1062 1.2531
0.5417 -0.7033 2.4101
2.4918 0.4029 3.6632
-0.4715 1.6104 1.9445
1.4786 2.7166 3.1975
0.0701 0.9071 4.3546
2.0202 2.0133 5.6076
```

No. 6
A plane-wave DFT calculation with PBE-GGA was carried out for a relaxed CdCo4 crystal.

Summary:
**Symmetry**: I4/m
**ΔH_f (0 K)**: 0.259 eV per atom

```
CdCo4
1.0
3.9280 -0.5074 2.2190
-3.3936 -2.8883 -0.8669
1.5870 0.5810 -4.2136
Cd Co
1 4
Cartesian
0.0000 0.0000 0.0000
1.9560 -0.4022 -1.7831
0.1654 -2.4125 -1.0784
2.1416 -1.4813 0.4791
-0.0203 -1.3334 -3.3406
```

No. 7
A plane-wave DFT calculation with PBE-GGA was carried out for a relaxed CdCo2 crystal.

Summary:
**Symmetry**: Fd-3m
**ΔH_f (0 K)**: 0.219 eV per atom

```
CdCo2
1.0
2.9699 -3.4741 -1.8032
1.1724 -3.8994 2.7497
-1.8015 -4.4305 -1.1251
Cd Co
2 4
Cartesian
1.7556 -8.8530 -0.1340
1.1704 -5.9020 -0.0893
0.8788 -3.4252 1.3525
-0.6082 -3.6908 -0.5849
1.7775 -3.2125 -0.9239
0.2926 -1.4755 -0.0223
```

No. 8
A plane-wave DFT calculation with PBE-GGA was carried out for a relaxed Cd3Co crystal.

Summary:
**Symmetry**: Immm
**ΔH_f (0 K)**: 0.192 eV per atom

```
Cd3Co
1.0
-0.9090 -2.4200 -3.6923
0.9374 -2.4050 1.3455
-5.6719 -3.4611 0.9136
Cd Co
3 1
Cartesian
-0.7250 -4.9639 -2.0704
-2.3602 -4.1393 0.5428
-4.9044 -5.7346 -0.5363
-3.2834 -4.1467 -1.9761
```

No. 9
A plane-wave DFT calculation with PBE-GGA was carried out for a relaxed Cd3Co2 crystal.

Summary:
**Symmetry**: R-3m
**ΔH_f (0 K)**: 0.362 eV per atom

```
Cd3Co2
1.0
11.7527 -1.4494 0.0141
11.7527 1.4494 0.0141
11.5710 0.0000 2.5180
Cd Co
3 2
Cartesian
0.0000 0.0000 0.0000
7.2640 0.0000 0.5273
27.8124 0.0000 2.0188
13.9044 0.0000 1.0093
21.1720 0.0000 1.5368
```

No. 10
A plane-wave DFT calculation with PBE-GGA was carried out for a relaxed CdCo2 crystal.

Summary:
**Symmetry**: Cmcm
**ΔH_f (0 K)**: 0.292 eV per atom

```
CdCo2
1.0
1.8056 -5.9952 0.0000
1.8056 5.9952 0.0000
0.0000 0.0000 3.9815
Cd Co
2 4
Cartesian
1.8056 -5.0083 2.9861
1.8056 5.0083 0.9954
1.8056 -1.4735 2.9861
1.8056 1.4735 0.9954
1.8056 3.0092 2.9861
1.8056 -3.0092 0.9954
```

No. 11
A plane-wave DFT calculation with PBE-GGA was carried out for a relaxed Cd3Co crystal.

Summary:
**Symmetry**: R-3m
**ΔH_f (0 K)**: 0.264 eV per atom

```
Cd3Co
1.0
-1.3494 2.2762 -1.4317
-0.9287 -2.8253 -0.4552
-6.1101 -0.8205 7.6159
Cd Co
3 1
Cartesian
-1.1203 -2.7983 -0.2318
-5.6165 -2.1653 5.0126
-4.0026 -0.7118 2.6410
-2.7718 0.7957 0.7164
```

No. 12
A plane-wave DFT calculation with PBE-GGA was carried out for a relaxed CdCo2 crystal.

Summary:
**Symmetry**: Pa-3
**ΔH_f (0 K)**: 1.152 eV per atom

```
CdCo2
1.0
-2.9454 5.2255 0.1444
-0.4662 -0.0975 -5.9812
-5.2066 -2.9473 0.4539
Co Cd
8 4
Cartesian
-5.2543 -2.1618 -3.1865
-2.7878 -0.7168 -5.1683
-5.8853 -0.5800 -0.1536
-3.4188 0.8651 -2.1354
-5.1994 1.3156 -3.2475
-2.7329 2.7606 -5.2293
-5.8304 2.8975 -0.2146
-3.3639 4.3425 -2.1963
0.0000 0.0000 0.0000
-2.8364 -1.5224 -2.7636
-4.0760 1.1391 0.2992
-1.7058 2.5640 -2.9184
```

No. 13
A plane-wave DFT calculation with PBE-GGA was carried out for a relaxed Cd2Co crystal.

Summary:
**Symmetry**: Fd-3m
**ΔH_f (0 K)**: 0.706 eV per atom

```
Cd2Co
1.0
0.0000 3.8681 3.8681
3.8681 0.0000 3.8681
3.8681 3.8681 0.0000
Cd Co
4 2
Cartesian
2.9011 0.9670 2.9011
2.9011 2.9011 0.9670
0.9670 2.9011 2.9011
0.9670 0.9670 0.9670
5.8021 5.8021 5.8021
3.8681 3.8681 3.8681
```

No. 14
A plane-wave DFT calculation with PBE-GGA was carried out for a relaxed CdCo2 crystal.

Summary:
**Symmetry**: Cmcm
**ΔH_f (0 K)**: 0.238 eV per atom

```
CdCo2
1.0
1.3535 -8.2217 0.0000
1.3535 8.2217 0.0000
0.0000 0.0000 4.0148
Cd Co
2 4
Cartesian
1.3535 5.0384 1.0037
1.3535 -5.0384 3.0111
1.3535 -6.9620 1.0037
1.3535 -0.7319 1.0037
1.3535 0.7319 3.0111
1.3535 6.9620 3.0111
```

No. 15
A plane-wave DFT calculation with PBE-GGA was carried out for a relaxed Cd4Co crystal.

Summary:
**Symmetry**: Pm-3m
**ΔH_f (0 K)**: 0.413 eV per atom

```
Cd4Co
1.0
-4.5847 1.8808 -0.6390
0.1230 -1.3356 -4.8132
-1.9826 -4.4322 1.1792
Co Cd
1 4
Cartesian
-3.2222 -1.9435 -2.1365
0.0000 0.0000 0.0000
-3.2836 -1.2757 0.2701
-0.9298 -2.8839 -1.8170
-2.2309 0.2726 -2.7261
```

No. 16
A plane-wave DFT calculation with PBE-GGA was carried out for a relaxed CdCo2 crystal.

Summary:
**Symmetry**: Cmcm
**ΔH_f (0 K)**: 0.272 eV per atom

```
CdCo2
1.0
1.3878 -7.2715 0.0000
1.3878 7.2715 0.0000
0.0000 0.0000 4.2226
Cd Co
2 4
Cartesian
1.3878 0.9322 1.0556
1.3878 -0.9322 3.1669
1.3878 5.2791 1.0556
1.3878 3.9379 3.1669
1.3878 -3.9379 1.0556
1.3878 -5.2791 3.1669
```

No. 17
A plane-wave DFT calculation with PBE-GGA was carried out for a relaxed Cd7Co crystal.

Summary:
**Symmetry**: Fm-3m
**ΔH_f (0 K)**: 0.159 eV per atom

```
Cd7Co
1.0
-3.5659 -4.9407 -0.5578
-5.8497 0.2325 1.7789
-4.4728 -0.0892 -4.1741
Cd Co
7 1
Cartesian
-1.7830 -2.4703 -0.2789
-2.2364 -0.0446 -2.0871
-4.0194 -2.5149 -2.3659
-2.9248 0.1162 0.8894
-4.7078 -2.3541 0.6105
-5.1612 0.0716 -1.1976
-6.9442 -2.3987 -1.4765
0.0000 0.0000 0.0000
```

No. 18
A plane-wave DFT calculation with PBE-GGA was carried out for a relaxed CdCo2 crystal.

Summary:
**Symmetry**: Cm
**ΔH_f (0 K)**: 0.352 eV per atom

```
CdCo2
1.0
1.3697 4.9168 -0.1185
-1.3697 4.9168 -0.1185
0.0000 0.7764 6.4790
Cd Co
2 4
Cartesian
0.0000 0.3945 0.0160
0.0000 3.1971 1.9233
0.0000 5.8334 2.2396
0.0000 9.7511 3.7886
0.0000 7.1432 4.1686
0.0000 3.7426 5.5495
```

No. 19
A plane-wave DFT calculation with PBE-GGA was carried out for a relaxed Cd4Co5 crystal.

Summary:
**Symmetry**: I4/mmm
**ΔH_f (0 K)**: 0.299 eV per atom

```
Cd4Co5
1.0
-4.1527 4.1527 2.0191
4.1527 -4.1527 2.0191
4.1527 4.1527 -2.0191
Cd Co
4 5
Cartesian
2.6177 0.0000 0.0000
5.6876 0.0000 0.0000
0.0000 2.6177 0.0000
0.0000 5.6876 0.0000
0.0000 0.0000 0.0000
2.9817 2.9817 0.0000
1.1709 -1.1709 2.0191
-1.1709 1.1709 2.0191
1.1709 1.1709 2.0191
```

No. 20
A plane-wave DFT calculation with PBE-GGA was carried out for a relaxed CdCo8 crystal.

Summary:
**Symmetry**: I4/mmm
**ΔH_f (0 K)**: 0.134 eV per atom

```
CdCo8
1.0
-3.8593 3.8593 1.8050
3.8593 -3.8593 1.8050
3.8593 3.8593 -1.8050
Cd Co
1 8
Cartesian
0.0000 0.0000 0.0000
0.0000 5.0496 0.0000
0.0000 2.6691 0.0000
5.0496 0.0000 0.0000
1.3979 1.3979 1.8050
1.3979 -1.3979 1.8050
2.6691 0.0000 0.0000
-1.3979 1.3979 1.8050
2.4614 2.4614 0.0000
```

No. 21
A plane-wave DFT calculation with PBE-GGA was carried out for a relaxed Cr2CdCo crystal.

Summary:
**Symmetry**: C2/m
**ΔH_f (0 K)**: 0.448 eV per atom

```
Cr2CdCo
1.0
-4.5362 -0.1730 -1.2320
-4.4085 -0.5793 1.5342
-1.4066 4.2755 0.6928
Cd Co Cr
1 1 2
Cartesian
-7.7635 2.6424 0.7463
-2.5878 0.8808 0.2488
-8.8986 -0.4046 0.3512
-5.2217 1.4139 0.4486
```

No. 22
A plane-wave DFT calculation with PBE-GGA was carried out for a relaxed CrCd2Co2 crystal.

Summary:
**Symmetry**: P4/mbm
**ΔH_f (0 K)**: 0.860 eV per atom

```
CrCd2Co2
1.0
-6.7054 -2.6153 -1.8107
-1.8058 -0.3483 7.1901
-0.9965 2.6397 -0.1224
Cr Co Cd
2 4 4
Cartesian
0.0000 0.0000 0.0000
-4.2556 -1.4818 2.6897
-2.8135 0.6540 4.4265
-6.4697 -0.7122 4.7300
-6.6941 -0.9777 0.8305
-3.0379 0.3884 0.5271
-4.0053 -1.2544 5.5560
-6.9444 -2.4822 3.0038
-4.5058 -1.7091 -0.1765
-1.5667 -0.4813 2.3756
```

No. 23
A plane-wave DFT calculation with PBE-GGA was carried out for a relaxed CrCd2Co2 crystal.

Summary:
**Symmetry**: P4/mbm
**ΔH_f (0 K)**: 0.388 eV per atom

```
CrCd2Co2
1.0
-3.9583 -3.1795 -3.1263
4.2815 -1.5423 -3.8524
0.8979 -3.4615 2.3837
Cr Co Cd
2 4 4
Cartesian
0.0000 0.0000 0.0000
0.1616 -2.3609 -3.4894
2.2595 -2.5058 -4.4900
-0.7247 -3.7335 -5.1489
-1.9363 -2.2160 -2.4888
1.0479 -0.9883 -1.8299
2.6466 -3.3334 -1.9633
1.3003 -5.1511 -4.0959
-1.4255 -4.8500 -2.6318
-0.0793 -3.0322 -0.4992
```

No. 24
A plane-wave DFT calculation with PBE-GGA was carried out for a relaxed Cr3CdCo crystal.

Summary:
**Symmetry**: Pm-3m
**ΔH_f (0 K)**: 1.065 eV per atom

```
Cr3CdCo
1.0
4.4997 0.0000 0.0000
0.0000 4.4997 0.0000
0.0000 0.0000 4.4997
Cr Co Cd
3 1 1
Cartesian
0.0000 2.2499 0.0000
0.0000 0.0000 2.2499
2.2499 0.0000 0.0000
0.0000 0.0000 0.0000
2.2499 2.2499 2.2499
```

No. 25
A plane-wave DFT calculation with PBE-GGA was carried out for a relaxed Cr2CdCo crystal.

Summary:
**Symmetry**: Pmmm
**ΔH_f (0 K)**: 0.409 eV per atom

```
Cr2CdCo
1.0
3.7145 0.0000 0.0000
0.0000 3.7539 0.0000
0.0000 0.0000 4.0963
Cd Co Cr
1 1 2
Cartesian
1.8573 0.0000 2.0481
0.0000 1.8769 2.0481
0.0000 0.0000 0.0000
1.8573 1.8769 0.0000
```

No. 26
A plane-wave DFT calculation with PBE-GGA was carried out for a relaxed CrCd2Co2 crystal.

Summary:
**Symmetry**: I4/mmm
**ΔH_f (0 K)**: 0.763 eV per atom

```
CrCd2Co2
1.0
4.0145 0.0000 0.0000
0.0000 4.0145 0.0000
2.0072 2.0072 5.5328
Cr Co Cd
1 2 2
Cartesian
0.0000 0.0000 0.0000
2.0072 2.0072 1.0288
4.0145 4.0145 4.5039
4.0145 2.0072 2.7664
2.0072 4.0145 2.7664
```